(1)
Material: HoScPd
Method: DFT, PBE-GGA
State: optimized geometry

Lattice parameters (Å, degrees): 6.888 6.484 6.460 94.78 90.00 90.00
Fractional positions:
Ho (0.908, 0.884, 0.245)
Ho (0.408, 0.116, 0.255)
Sc (0.259, 0.561, 0.003)
Sc (0.741, 0.439, 0.997)
Ho (0.092, 0.116, 0.755)
Sc (0.241, 0.561, 0.503)
Ho (0.592, 0.884, 0.745)
Pd (0.964, 0.704, 0.778)
Pd (0.464, 0.296, 0.722)
Sc (0.759, 0.439, 0.497)
Pd (0.036, 0.296, 0.222)
Pd (0.536, 0.704, 0.278)

The formation energy is -0.590 eV/atom. As for the symmetry: No. 14. The calculation puts the mass density at 7.31 g cm⁻³. For the volume, the calculation gives 23.96 Å³ per atom.

---

(2)
Material: ScMnSi
Method: DFT, PBE-GGA
State: optimized geometry

Lattice parameters (Å, degrees): 6.540 6.540 3.795 90.00 90.00 120.00
Each line ends with the local moment (μB).
Fractional positions:
Sc (0.415, 0.415, 0.500)  -0.15
Mn (0.769, 0.769, 0.000)  2.23
Mn (0.231, 0.000, 0.000)  2.23
Sc (0.000, 0.585, 0.500)  -0.15
Si (0.000, 0.000, 0.500)  -0.08
Sc (0.585, 0.000, 0.500)  -0.15
Si (0.333, 0.667, 0.000)  -0.04
Mn (0.000, 0.231, 0.000)  2.23
Si (0.667, 0.333, 0.000)  -0.04

Its formation energy (no corrections) is -0.616 eV per atom. As for the symmetry: No. 189. The calculation puts the mass density at 4.54 g cm⁻³. For the volume, the calculation gives 15.62 Å³ per atom.

---

(3)
Material: PmPr2Zn
Method: DFT, PBE-GGA
State: optimized geometry

Lattice parameters (Å, degrees): 5.523 5.523 5.523 60.00 60.00 60.00
Fractional positions:
Pr (0.750, 0.750, 0.750)
Pm (0.000, 0.000, 0.000)
Pr (0.250, 0.250, 0.250)
Zn (0.500, 0.500, 0.500)

The formation energy is 0.056 eV/atom. As for the symmetry: No. 225. The calculation puts the mass density at 6.86 g cm⁻³. For the volume, the calculation gives 29.79 Å³ per atom.

---

(4)
Material: Na2In2Pt
Method: DFT, PBE-GGA
State: optimized geometry

Lattice parameters (Å, degrees): 7.047 7.047 5.214 90.00 90.00 90.00
Fractional positions:
Na (0.675, 0.825, 0.500)
In (0.650, 0.150, 0.000)
In (0.850, 0.650, 0.000)
Na (0.825, 0.325, 0.500)
In (0.350, 0.850, 0.000)
Na (0.175, 0.675, 0.500)
In (0.150, 0.350, 0.000)
Na (0.325, 0.175, 0.500)
Pt (0.500, 0.500, 0.000)
Pt (0.000, 0.000, 0.000)

The formation energy is -0.209 eV/atom. As for the symmetry: No. 127. The calculation puts the mass density at 6.04 g cm⁻³. For the volume, the calculation gives 25.89 Å³ per atom.

---

(5)
Material: ThGa6Ir4
Method: DFT, PBE-GGA
State: optimized geometry

Lattice parameters (Å, degrees): 3.972 7.382 7.382 120.00 90.00 90.00
Fractional positions:
Ir (0.500, 0.403, 0.202)
Ga (0.500, 0.198, 0.395)
Ga (0.000, 0.532, 0.065)
Ir (0.500, 0.798, 0.202)
Ga (0.000, 0.935, 0.468)
Ga (0.500, 0.198, 0.802)
Ir (0.500, 0.798, 0.597)
Th (0.000, 0.000, 0.000)
Ga (0.500, 0.605, 0.802)
Ir (0.000, 0.333, 0.667)
Ga (0.000, 0.532, 0.468)

The formation energy is -0.577 eV/atom. As for the symmetry: No. 187. The calculation puts the mass density at 12.57 g cm⁻³. For the volume, the calculation gives 17.04 Å³ per atom.

---

(6)
Material: NbSiN3
Method: DFT, PBE-GGA
State: optimized geometry

Lattice parameters (Å, degrees): 3.561 3.561 3.561 90.00 90.00 90.00
Fractional positions:
Nb (0.500, 0.500, 0.500)
N (0.000, 0.000, 0.500)
N (0.500, 0.000, 0.000)
Si (0.000, 0.000, 0.000)
N (0.000, 0.500, 0.000)

Its formation energy (no corrections) is -0.010 eV per atom. As for the symmetry: No. 221. The calculation puts the mass density at 6.00 g cm⁻³. For the volume, the calculation gives 9.03 Å³ per atom.

---

(7)
Material: Ba3HgI
Method: DFT, PBE-GGA
State: optimized geometry

Lattice parameters (Å, degrees): 4.597 10.500 10.644 112.02 90.00 90.00
Fractional positions:
Ba (0.250, 0.020, 0.697)
Hg (0.250, 0.390, 0.916)
I (0.250, 0.299, 0.367)
Ba (0.250, 0.630, 0.330)
I (0.750, 0.701, 0.633)
Ba (0.750, 0.980, 0.303)
Hg (0.750, 0.610, 0.084)
Ba (0.750, 0.370, 0.670)
Ba (0.250, 0.752, 0.935)
Ba (0.750, 0.248, 0.065)

Its formation energy (no corrections) is -0.684 eV per atom. As for the symmetry: No. 11. The calculation puts the mass density at 5.16 g cm⁻³. For the volume, the calculation gives 47.64 Å³ per atom.

---

(8)
Material: KTl5Sn
Method: DFT, PBE-GGA
State: optimized geometry

Lattice parameters (Å, degrees): 4.924 4.924 10.265 90.00 90.00 90.00
Fractional positions:
Tl (0.000, 0.000, 0.000)
Tl (0.000, 0.500, 0.226)
Tl (0.500, 0.000, 0.774)
Sn (0.500, 0.500, 0.000)
K (0.000, 0.000, 0.500)
Tl (0.500, 0.000, 0.226)
Tl (0.000, 0.500, 0.774)

The formation energy is -0.022 eV/atom. As for the symmetry: No. 123. The calculation puts the mass density at 7.87 g cm⁻³. For the volume, the calculation gives 35.56 Å³ per atom.

---

(9)
Material: LiTbBi2S4
Method: DFT, PBE-GGA
State: optimized geometry

Lattice parameters (Å, degrees): 3.868 6.757 8.395 120.07 90.00 90.00
Fractional positions:
S (0.500, 0.693, 0.783)
S (0.500, 0.307, 0.217)
Tb (0.500, 0.500, 0.000)
S (0.000, 0.816, 0.208)
Bi (0.000, 0.500, 0.500)
Li (0.000, 0.000, 0.000)
S (0.000, 0.184, 0.792)
Bi (0.500, 0.000, 0.500)

Its formation energy (no corrections) is -0.882 eV per atom. As for the symmetry: No. 10. The calculation puts the mass density at 6.23 g cm⁻³. For the volume, the calculation gives 23.73 Å³ per atom.

---

(10)
Material: YHfTe4
Method: DFT, PBE-GGA
State: optimized geometry

Lattice parameters (Å, degrees): 7.071 8.103 8.352 116.93 90.00 90.00
Fractional positions:
Te (0.693, 0.629, 0.330)
Te (0.807, 0.129, 0.330)
Te (0.193, 0.871, 0.670)
Te (0.210, 0.342, 0.138)
Te (0.790, 0.658, 0.862)
Hf (0.500, 0.500, 0.000)
Y (0.000, 0.500, 0.500)
Te (0.290, 0.842, 0.138)
Te (0.307, 0.371, 0.670)
Hf (0.000, 0.000, 0.000)
Te (0.710, 0.158, 0.862)
Y (0.500, 0.000, 0.500)

Its formation energy (no corrections) is -0.822 eV per atom. As for the symmetry: No. 14. The calculation puts the mass density at 6.05 g cm⁻³. For the volume, the calculation gives 35.56 Å³ per atom.

---

In order of appearance, total magnetization = 0.00; 1.99; 0.00; 0.00; 0.00; 0.00; 0.00; 0.00; 0.00; 0.00 μB/f.u..